This record from Alexandria via LeMat-Bulk describes crystalline Mn2Au at its relaxed geometry. The functional is PBE.

Cell: 12.4151 12.4151 12.4151 Å, 161.68 161.68 26.02°
Closest atoms and distances in Å follow each position.
Sites, in units of the cell vectors:
Mn (0.1246, 0.3746, 0.7500)  4 Au 2.77-2.78, 8 Mn 2.79-2.84
Mn (0.2911, 0.5411, 0.7500)  6 Au 2.80-2.86, 6 Mn 2.80-2.84
Mn (0.3746, 0.1246, 0.2500)  4 Au 2.77-2.78, 8 Mn 2.79-2.84
Mn (0.4589, 0.7089, 0.7500)  6 Au 2.80-2.86, 6 Mn 2.80-2.84
Mn (0.5411, 0.2911, 0.2500)  6 Au 2.80-2.86, 6 Mn 2.80-2.84
Mn (0.6254, 0.8754, 0.7500)  4 Au 2.77-2.78, 8 Mn 2.79-2.84
Mn (0.7089, 0.4589, 0.2500)  6 Au 2.80-2.86, 6 Mn 2.80-2.84
Mn (0.8754, 0.6254, 0.2500)  4 Au 2.77-2.78, 8 Mn 2.79-2.84
Au (0.0444, 0.7944, 0.2500)  10 Mn 2.77-2.86, 2 Au 2.92
Au (0.2056, 0.9556, 0.2500)  10 Mn 2.77-2.86, 2 Au 2.92
Au (0.7944, 0.0444, 0.7500)  10 Mn 2.77-2.86, 2 Au 2.92
Au (0.9556, 0.2056, 0.7500)  10 Mn 2.77-2.86, 2 Au 2.92

Values from the calculation:
Space-group type ... No. 141
Total magnetization ... 7.64 μB/f.u.
Energy of formation ... 15.5 kJ per mole of atoms